SmHoFe8B2 | OQMD | PBE-GGA | relaxed; crystal system = hexagonal; symmetry = P6/mmm (191); uncorrected energy = -7.643 eV per atom; polymorph energy (0 for the lowest one) = 0 meV per atom; V = 13.08 Å³ per atom
1.0
-1.3837 4.8154 -0.8226
-3.1610 -3.7892 -1.1954
-2.7948 0.2980 6.4458
Sm Ho Fe B
1 1 8 2
Cartesian
0.0000 0.0000 0.0000 Sm
-1.3974 0.1490 3.2229 Ho
-4.2621 0.7252 3.5800 Fe
-1.9761 1.9472 -0.9468 Fe
-1.4969 2.4935 1.4455 Fe
-2.3856 -1.8088 1.2591 Fe
-2.6816 2.6199 4.1777 Fe
-2.5685 -0.9210 -1.0711 Fe
-3.0774 0.5989 0.8478 Fe
-3.5702 -1.6824 3.9913 Fe
-3.9660 -0.7720 2.1518 B
-3.3735 2.0962 2.2761 B

CsGd3F10 | OQMD | PBE-GGA | relaxed; crystal system = monoclinic; symmetry = Cm (8); uncorrected energy = -6.264 eV per atom; V = 15.30 Å³ per atom
1.0
6.7519 -3.8995 0.0000
6.7519 3.8995 0.0000
-0.0019 0.0000 4.0683
F Cs Gd
10 1 3
Cartesian
5.6186 -2.0625 3.7923 F
9.2002 0.0000 3.8146 F
8.1247 -2.2915 0.7339 F
10.5031 -1.3800 1.8475 F
8.1247 2.2915 0.7339 F
4.1777 0.0000 0.7536 F
5.6186 2.0625 3.7923 F
2.3145 0.0000 2.9389 F
10.5031 1.3800 1.8475 F
12.8975 0.0000 1.8196 F
6.8252 0.0000 1.8883 Cs
0.1480 0.0000 3.8539 Gd
3.3898 -1.8660 3.8829 Gd
3.3898 1.8660 3.8829 Gd

> Look up the V of the first one.

13.08 Å³ per atom